# Pr6Co2TeCl3

A relaxed structure of Pr6Co2TeCl3 (PBE, Alexandria).

## Properties
Calculated total energy: -5.30 eV per atom
Symmetry: C2/m, No. 12

Lattice parameters (Å, degrees): 9.540 9.540 8.982 104.08 104.08 25.14
Fractional positions:
Pr  0.026  0.026  0.275
Pr  0.321  0.321  0.435
Pr  0.323  0.323  0.863
Pr  0.677  0.677  0.137
Pr  0.679  0.679  0.565
Pr  0.974  0.974  0.725
Co  0.171  0.171  0.341
Co  0.829  0.829  0.659
Te  0.500  0.500  0.000
Cl  0.158  0.158  0.835
Cl  0.500  0.500  0.500
Cl  0.842  0.842  0.165

=====

# PrThCoCl

A relaxed structure of PrThCoCl (PBE, Alexandria).

## Properties
Calculated total energy: -6.11 eV per atom
Symmetry: R3m, No. 160

Lattice parameters (Å, degrees): 8.004 8.004 8.004 28.99 28.99 28.99
Fractional positions:
Pr  0.000  0.000  0.000
Th  0.205  0.205  0.205
Co  0.594  0.594  0.594
Cl  0.768  0.768  0.768